Entry 1:
Material: Pa3Sn
Method: DFT, PBE
State: optimized geometry

uncorrected energy = -8.32 eV per atom
ΔH_f (0 K) = -0.194 eV per atom
V = 99 Å³/f.u.
space-group type = Pm-3m (221)

a b c (Å): 4.6250 4.6298 4.6287
angles (deg): 90.00 90.00 90.00
Fractional positions:
Pa (0.0000, 0.0000, 0.0833)
Pa (0.0000, 0.5000, 0.5833)
Pa (0.5000, 0.5000, 0.0833)
Sn (0.5000, 0.0000, 0.5834)



Entry 2:
Material: Zr7HgBi2H2
Method: DFT, PBE
State: optimized geometry

uncorrected energy = -6.55 eV per atom
V = 237 Å³/f.u.
space-group type = C2/m (12)

a b c (Å): 4.3216 4.3216 13.0436
angles (deg): 80.34 80.34 90.00
Fractional positions:
Zr (0.5000, 0.5000, 0.0000)
Zr (0.2964, 0.2964, 0.4026)
Zr (0.7036, 0.7036, 0.5974)
Zr (0.9073, 0.4071, 0.1841)
Zr (0.4071, 0.9073, 0.1841)
Zr (0.5929, 0.0927, 0.8159)
Zr (0.0927, 0.5929, 0.8159)
Hg (0.0000, 0.0000, 0.0000)
Bi (0.8171, 0.8171, 0.3625)
Bi (0.1829, 0.1829, 0.6375)
H (0.5836, 0.5836, 0.8337)
H (0.4164, 0.4164, 0.1663)